Model a:
DFT (PBE) results for HfGaS3 after structural relaxation.

Lattice parameters (Å, degrees): 4.963 4.963 4.963 90.00 90.00 90.00
Sites, in units of the cell vectors:
Hf 0.000 0.000 0.000
Ga 0.500 0.500 0.500
S 0.000 0.000 0.500
S 0.000 0.500 0.000
S 0.500 0.000 0.000

---

Model b:
DFT (PBE) results for HfGaS3 after structural relaxation.

Lattice parameters (Å, degrees): 4.585 4.585 4.585 90.00 90.00 90.00
Sites, in units of the cell vectors:
Hf 0.000 0.000 0.000
Ga 0.500 0.500 0.500
S 0.000 0.500 0.500
S 0.500 0.000 0.500
S 0.500 0.500 0.000

---

Quick ranking, most stable first: model a, model b.

---

Model a:
DFT (PBE) results for HfGaSb after structural relaxation.

Lattice parameters (Å, degrees): 4.979 4.979 2.956 90.00 90.00 120.00
Sites, in units of the cell vectors:
Hf 0.000 0.000 0.000
Ga 0.667 0.333 0.498
Sb 0.333 0.667 0.500

---

Model b:
DFT (PBE) results for HfGaSb after structural relaxation.

Lattice parameters (Å, degrees): 3.901 3.901 8.487 90.00 90.00 90.00
Sites, in units of the cell vectors:
Hf 0.250 0.250 0.237
Hf 0.750 0.750 0.763
Ga 0.250 0.750 0.500
Ga 0.750 0.250 0.500
Sb 0.250 0.250 0.871
Sb 0.750 0.750 0.129

---

Quick ranking, most stable first: model b, model a.